Model a:
5
Lattice="5.994 0.000 0.000 0.000 5.994 0.000 0.000 0.000 5.994" Properties=species:S:1:pos:R:3 comment="Sr3LaAs, optimized geometry, DFT PBE" space_group=Pm-3m volume_a3_per_cell=215 n_ef_per_ev_cell=8.38 pbc="T T T"
Sr 2.997 0.000 0.000
Sr 0.000 2.997 0.000
Sr 0.000 0.000 2.997
As 2.997 2.997 2.997
La 0.000 0.000 0.000



Model b:
5
Lattice="6.075 0.000 0.000 0.000 6.075 0.000 0.000 0.000 6.075" Properties=species:S:1:pos:R:3 comment="Sr3LaAs, optimized geometry, DFT PBE" space_group=Pm-3m volume_a3_per_cell=224 n_ef_per_ev_cell=6.99 pbc="T T T"
Sr 0.000 3.037 0.000
Sr 3.037 0.000 0.000
Sr 0.000 0.000 3.037
La 3.037 3.037 3.037
As 0.000 0.000 0.000



Stability summary: most stable model b, least stable model a.



Model a:
5
Lattice="-2.999 -1.028 2.519 2.510 -2.493 1.971 1.716 3.878 6.880" Properties=species:S:1:pos:R:3 comment="La2Ta2As, optimized geometry, DFT PBE" space_group=I4/mmm volume_a3_per_cell=124 n_ef_per_ev_cell=5.91 pbc="T T T"
La -0.764 0.545 5.822
La 1.991 -0.188 5.548
Ta 0.066 -0.868 2.979
Ta 1.161 1.225 8.392
As 0.000 0.000 0.000



Model b:
10
Lattice="7.030 0.000 0.000 0.000 7.030 0.000 0.000 0.000 4.901" Properties=species:S:1:pos:R:3 comment="La2Ta2As, optimized geometry, DFT PBE" space_group=P4/mbm volume_a3_per_cell=242 n_ef_per_ev_cell=15.22 pbc="T T T"
La 4.760 5.785 2.450
La 1.245 4.760 2.450
La 2.270 1.245 2.450
La 5.785 2.270 2.450
Ta 0.952 2.563 0.000
Ta 4.467 0.952 0.000
Ta 6.077 4.467 0.000
Ta 2.563 6.077 0.000
As 3.515 3.515 0.000
As 0.000 0.000 0.000



Stability summary: most stable model b, least stable model a.



Model a:
5
Lattice="-0.342 1.771 4.666 -3.461 -3.454 1.058 3.596 -3.155 1.461" Properties=species:S:1:pos:R:3 comment="LaTaAs3, optimized geometry, DFT PBE" space_group=Pm-3m volume_a3_per_cell=125 n_ef_per_ev_cell=2.18 pbc="T T T"
Ta 0.000 0.000 0.000
La -0.103 -2.419 3.592
As 1.798 -1.578 0.731
As -0.171 0.886 2.333
As -1.730 -1.727 0.529



Model b:
5
Lattice="5.412 0.000 0.000 0.000 5.412 0.000 0.000 0.000 5.412" Properties=species:S:1:pos:R:3 comment="LaTaAs3, optimized geometry, DFT PBE" space_group=Pm-3m volume_a3_per_cell=159 n_ef_per_ev_cell=6.72 pbc="T T T"
Ta 2.706 2.706 2.706
As 2.706 0.000 0.000
As 0.000 2.706 0.000
As 0.000 0.000 2.706
La 0.000 0.000 0.000



Stability summary: most stable model a, least stable model b.



Model a:
5
Lattice="4.000 0.000 0.000 0.000 4.000 0.000 2.000 2.000 6.699" Properties=species:S:1:pos:R:3 comment="LaTa2As2, optimized geometry, DFT PBE" space_group=I4/mmm volume_a3_per_cell=107 n_ef_per_ev_cell=2.61 pbc="T T T"
Ta 4.000 2.000 3.350
Ta 2.000 4.000 3.350
As 4.000 4.000 5.131
As 2.000 2.000 1.568
La 0.000 0.000 0.000



Model b:
5
Lattice="-1.681 3.541 3.023 -1.353 -3.447 3.285 2.525 0.310 5.094" Properties=species:S:1:pos:R:3 comment="LaTa2As2, optimized geometry, DFT PBE" space_group=I4/mmm volume_a3_per_cell=110 n_ef_per_ev_cell=3.11 pbc="T T T"
La 0.000 0.000 0.000
Ta -0.133 0.283 7.700
Ta -0.375 0.121 3.702
As -0.172 -1.545 5.767
As -0.336 1.949 5.636



Stability summary: most stable model a, least stable model b.



Model a:
4
Lattice="5.701 -0.013 0.000 2.661 5.042 0.000 -4.181 -2.515 2.950" Properties=species:S:1:pos:R:3 comment="LaTcAs2, optimized geometry, DFT PBE" space_group=I-4m2 volume_a3_per_cell=85 n_ef_per_ev_cell=5.02 pbc="T T T"
As 1.330 2.521 1.475
As 0.000 0.000 0.000
La 4.181 2.515 0.000
Tc 2.851 -0.006 1.475



Model b:
4
Lattice="-1.964 -3.098 -3.116 3.615 -1.811 -0.479 -1.016 -2.981 3.604" Properties=species:S:1:pos:R:3 comment="LaTcAs2, optimized geometry, DFT PBE" space_group=Pmm2 volume_a3_per_cell=94 n_ef_per_ev_cell=2.62 pbc="T T T"
La 1.365 -2.203 1.330
Tc -1.802 -3.957 1.354
As 2.660 -4.610 2.906
As -1.305 -2.495 -0.414



Model c:
4
Lattice="8.690 -0.169 -0.100 8.060 3.252 -0.100 8.060 1.484 2.896" Properties=species:S:1:pos:R:3 comment="LaTcAs2, optimized geometry, DFT PBE" space_group=R3m volume_a3_per_cell=89 n_ef_per_ev_cell=1.79 pbc="T T T"
Tc 18.325 3.373 1.991
As 0.352 0.065 0.038
As 6.286 1.157 0.683
La 12.252 2.255 1.331



Model d:
8
Lattice="5.023 0.000 0.000 0.000 5.023 0.000 2.511 2.511 7.919" Properties=species:S:1:pos:R:3 comment="LaTcAs2, optimized geometry, DFT PBE" space_group=I-42d volume_a3_per_cell=200 n_ef_per_ev_cell=2.42 pbc="T T T"
La 0.000 0.000 0.000
La 5.023 2.511 3.959
Tc 2.511 5.023 3.959
Tc 2.511 2.511 0.000
As 6.278 5.546 5.939
As 1.988 3.767 1.980
As 3.034 1.256 1.980
As 3.767 4.500 5.939



Stability summary: most stable model b, least stable model c.



Model a:
4
Lattice="3.243 0.020 0.000 -0.024 3.243 0.000 0.000 0.000 7.291" Properties=species:S:1:pos:R:3 comment="LaTcAs2, optimized geometry, DFT PBE" space_group=P4/mmm volume_a3_per_cell=77 n_ef_per_ev_cell=3.47 pbc="T T T"
As 0.000 0.000 6.920
As 0.000 0.000 4.018
La 1.610 1.632 1.823
Tc 1.610 1.632 5.469



Model b:
4
Lattice="7.055 0.009 0.020 -2.504 3.969 0.002 2.046 1.289 2.941" Properties=species:S:1:pos:R:3 comment="LaTcAs2, optimized geometry, DFT PBE" space_group=Cmmm volume_a3_per_cell=82 n_ef_per_ev_cell=3.76 pbc="T T T"
As 4.551 0.649 1.480
As 0.000 0.000 0.000
Tc 2.275 1.989 0.011
La -0.229 2.629 1.472



Stability summary: most stable model a, least stable model b.